Entry w
Density functional theory data (PBE) for a relaxed Nd4Al3Hg crystal.

The density is 6.5 Mg/m³.

Geometry as CIF:
```
data_Nd4Al3Hg
_cell_length_a 3.858
_cell_length_b 4.638
_cell_length_c 12.198
_cell_angle_alpha 90.00
_cell_angle_beta 90.00
_cell_angle_gamma 90.00
_symmetry_space_group_name_H-M 'P m m 2'
_symmetry_Int_Tables_number 25
loop_
_symmetry_equiv_pos_as_xyz
'x,y,z'
'-x,-y,z'
'-x,y,z'
'x,-y,z'
loop_
_atom_site_label
_atom_site_type_symbol
_atom_site_fract_x
_atom_site_fract_y
_atom_site_fract_z
_atom_site_occupancy
Nd1 Nd 0.000 0.000 0.000 1
Nd2 Nd 0.000 0.500 0.303 1
Nd3 Nd 0.500 0.000 0.494 1
Nd4 Nd 0.500 0.500 0.804 1
Al1 Al 0.000 0.500 0.581 1
Al2 Al 0.500 0.000 0.216 1
Al3 Al 0.500 0.500 0.085 1
Hg1 Hg 0.000 0.000 0.719 1
```

Entry x
Density functional theory data (PBE) for a relaxed Nd4Al3Hg crystal.

The density is 6.7 Mg/m³.

Geometry as CIF:
```
data_Nd4Al3Hg
_cell_length_a 3.697
_cell_length_b 3.697
_cell_length_c 15.512
_cell_angle_alpha 90.00
_cell_angle_beta 90.00
_cell_angle_gamma 90.00
_symmetry_space_group_name_H-M 'P 4/m m m'
_symmetry_Int_Tables_number 123
_symmetry_space_group_name_Hall '-P 4 2'
loop_
_atom_site_label
_atom_site_type_symbol
_atom_site_fract_x
_atom_site_fract_y
_atom_site_fract_z
_atom_site_occupancy
Nd1 Nd 0.000 0.000 0.121 1
Nd2 Nd 0.000 0.000 0.366 1
Al1 Al 0.500 0.500 0.000 1
Al2 Al 0.500 0.500 0.245 1
Hg1 Hg 0.500 0.500 0.500 1
```

Which structure is the least stable? The one labeled entry w.

Entry w
Density functional theory data (PBE) for a relaxed Nd2AlHg crystal.

The density is 8.0 Mg/m³.

Geometry as CIF:
```
data_Nd2AlHg
_cell_length_a 3.617
_cell_length_b 3.617
_cell_length_c 8.241
_cell_angle_alpha 90.00
_cell_angle_beta 90.00
_cell_angle_gamma 90.00
_symmetry_space_group_name_H-M 'P 4/m m m'
_symmetry_Int_Tables_number 123
_symmetry_space_group_name_Hall '-P 4 2'
loop_
_atom_site_label
_atom_site_type_symbol
_atom_site_fract_x
_atom_site_fract_y
_atom_site_fract_z
_atom_site_occupancy
Nd1 Nd 0.000 0.000 0.240 1
Al1 Al 0.500 0.500 0.000 1
Hg1 Hg 0.500 0.500 0.500 1
```

Entry x
Density functional theory data (PBE) for a relaxed Nd2AlHg crystal.

The density is 7.3 Mg/m³.

Geometry as CIF:
```
data_Nd2AlHg
_cell_length_a 3.8067
_cell_length_b 3.8067
_cell_length_c 28.1780
_cell_angle_alpha 90.00
_cell_angle_beta 90.00
_cell_angle_gamma 120.00
_symmetry_space_group_name_H-M 'R -3 m'
_symmetry_Int_Tables_number 166
_symmetry_space_group_name_Hall '-R 3 2"'
loop_
_atom_site_label
_atom_site_type_symbol
_atom_site_fract_x
_atom_site_fract_y
_atom_site_fract_z
_atom_site_occupancy
Nd1 Nd 0.0000 0.0000 0.2465 1
Al1 Al 0.0000 0.0000 0.5000 1
Hg1 Hg 0.0000 0.0000 0.0000 1
```

Entry y
Density functional theory data (PBE) for a relaxed Nd2AlHg crystal.

The density is 7.8 Mg/m³.

Geometry as CIF:
```
data_Nd2AlHg
_cell_length_a 7.612
_cell_length_b 7.612
_cell_length_c 7.612
_cell_angle_alpha 90.00
_cell_angle_beta 90.00
_cell_angle_gamma 90.00
_symmetry_space_group_name_H-M 'F m -3 m'
_symmetry_Int_Tables_number 225
_symmetry_space_group_name_Hall '-F 4 2 3'
loop_
_atom_site_label
_atom_site_type_symbol
_atom_site_fract_x
_atom_site_fract_y
_atom_site_fract_z
_atom_site_occupancy
Nd1 Nd 0.250 0.250 0.250 1
Al1 Al 0.000 0.000 0.000 1
Hg1 Hg 0.000 0.000 0.500 1
```

Which structure is the least stable? The one labeled entry x.

Entry w
Density functional theory data (PBE) for a relaxed Nd8AlHg2 crystal.

The density is 7.6 Mg/m³.

Geometry as CIF:
```
data_Nd8AlHg2
_cell_length_a 18.867
_cell_length_b 5.339
_cell_length_c 7.222
_cell_angle_alpha 90.00
_cell_angle_beta 108.76
_cell_angle_gamma 90.00
_symmetry_space_group_name_H-M 'C 1 2/m 1'
_symmetry_Int_Tables_number 12
loop_
_symmetry_equiv_pos_as_xyz
'x,y,z'
'-x,-y,-z'
'-x,y,-z'
'x,-y,z'
'x+1/2,y+1/2,z'
'-x+1/2,-y+1/2,-z'
'-x+1/2,y+1/2,-z'
'x+1/2,-y+1/2,z'
loop_
_atom_site_label
_atom_site_type_symbol
_atom_site_fract_x
_atom_site_fract_y
_atom_site_fract_z
_atom_site_occupancy
Nd1 Nd 0.017 0.000 0.272 1
Nd2 Nd 0.090 0.500 0.963 1
Nd3 Nd 0.166 0.500 0.480 1
Nd4 Nd 0.196 0.000 0.815 1
Al1 Al 0.000 0.500 0.500 1
Hg1 Hg 0.176 0.000 0.221 1
```

Entry x
Density functional theory data (PBE) for a relaxed Nd8AlHg2 crystal.

The density is 7.7 Mg/m³.

Geometry as CIF:
```
data_Nd8AlHg2
_cell_length_a 5.170
_cell_length_b 8.692
_cell_length_c 15.103
_cell_angle_alpha 90.00
_cell_angle_beta 90.00
_cell_angle_gamma 90.00
_symmetry_space_group_name_H-M 'I m m m'
_symmetry_Int_Tables_number 71
_symmetry_space_group_name_Hall '-I 2 2'
loop_
_atom_site_label
_atom_site_type_symbol
_atom_site_fract_x
_atom_site_fract_y
_atom_site_fract_z
_atom_site_occupancy
Nd1 Nd 0.000 0.000 0.134 1
Nd2 Nd 0.000 0.227 0.341 1
Nd3 Nd 0.000 0.315 0.000 1
Al1 Al 0.000 0.500 0.500 1
Hg1 Hg 0.000 0.500 0.195 1
```

Which structure is the least stable? The one labeled entry x.

Entry w
Density functional theory data (PBE) for a relaxed NdAl2Hg crystal.

The density is 7.1 Mg/m³.

Geometry as CIF:
```
data_NdAl2Hg
_cell_length_a 4.4607
_cell_length_b 4.4607
_cell_length_c 16.2092
_cell_angle_alpha 90.00
_cell_angle_beta 90.00
_cell_angle_gamma 120.00
_symmetry_space_group_name_H-M 'R -3 m'
_symmetry_Int_Tables_number 166
_symmetry_space_group_name_Hall '-R 3 2"'
loop_
_atom_site_label
_atom_site_type_symbol
_atom_site_fract_x
_atom_site_fract_y
_atom_site_fract_z
_atom_site_occupancy
Nd1 Nd 0.0000 0.0000 0.0000 1
Al1 Al 0.0000 0.0000 0.2181 1
Hg1 Hg 0.0000 0.0000 0.5000 1
```

Entry x
Density functional theory data (PBE) for a relaxed NdAl2Hg crystal.

The density is 7.2 Mg/m³.

Geometry as CIF:
```
data_NdAl2Hg
_cell_length_a 5.797
_cell_length_b 9.875
_cell_length_c 3.235
_cell_angle_alpha 90.00
_cell_angle_beta 90.00
_cell_angle_gamma 90.00
_symmetry_space_group_name_H-M 'C m m m'
_symmetry_Int_Tables_number 65
_symmetry_space_group_name_Hall '-C 2 2'
loop_
_atom_site_label
_atom_site_type_symbol
_atom_site_fract_x
_atom_site_fract_y
_atom_site_fract_z
_atom_site_occupancy
Nd1 Nd 0.000 0.000 0.000 1
Al1 Al 0.250 0.250 0.500 1
Hg1 Hg 0.000 0.500 0.500 1
```

Entry y
Density functional theory data (PBE) for a relaxed NdAl2Hg crystal.

The density is 7.4 Mg/m³.

Geometry as CIF:
```
data_NdAl2Hg
_cell_length_a 4.512
_cell_length_b 4.512
_cell_length_c 4.413
_cell_angle_alpha 90.00
_cell_angle_beta 90.00
_cell_angle_gamma 90.00
_symmetry_space_group_name_H-M 'P 4/m m m'
_symmetry_Int_Tables_number 123
_symmetry_space_group_name_Hall '-P 4 2'
loop_
_atom_site_label
_atom_site_type_symbol
_atom_site_fract_x
_atom_site_fract_y
_atom_site_fract_z
_atom_site_occupancy
Nd1 Nd 0.000 0.000 0.000 1
Al1 Al 0.000 0.500 0.500 1
Hg1 Hg 0.500 0.500 0.000 1
```

Which structure is the least stable? The one labeled entry x.

Entry w
Density functional theory data (PBE) for a relaxed Nd3AlHg crystal.

The density is 7.6 Mg/m³.

Geometry as CIF:
```
data_Nd3AlHg
_cell_length_a 10.394
_cell_length_b 11.427
_cell_length_c 9.764
_cell_angle_alpha 90.00
_cell_angle_beta 90.00
_cell_angle_gamma 90.00
_symmetry_space_group_name_H-M 'C m c e'
_symmetry_Int_Tables_number 64
_symmetry_space_group_name_Hall '-C 2ac 2'
loop_
_atom_site_label
_atom_site_type_symbol
_atom_site_fract_x
_atom_site_fract_y
_atom_site_fract_z
_atom_site_occupancy
Nd1 Nd 0.000 0.061 0.147 1
Nd2 Nd 0.184 0.129 0.578 1
Al1 Al 0.250 0.142 0.250 1
Hg1 Hg 0.000 0.221 0.857 1
```

Entry x
Density functional theory data (PBE) for a relaxed Nd3AlHg crystal.

The density is 7.6 Mg/m³.

Geometry as CIF:
```
data_Nd3AlHg
_cell_length_a 5.407
_cell_length_b 19.710
_cell_length_c 5.437
_cell_angle_alpha 90.00
_cell_angle_beta 90.00
_cell_angle_gamma 90.00
_symmetry_space_group_name_H-M 'C m c m'
_symmetry_Int_Tables_number 63
_symmetry_space_group_name_Hall '-C 2c 2'
loop_
_atom_site_label
_atom_site_type_symbol
_atom_site_fract_x
_atom_site_fract_y
_atom_site_fract_z
_atom_site_occupancy
Nd1 Nd 0.000 0.058 0.250 1
Nd2 Nd 0.000 0.247 0.250 1
Nd3 Nd 0.000 0.432 0.250 1
Al1 Al 0.000 0.154 0.750 1
Hg1 Hg 0.000 0.347 0.750 1
```

Which structure is the least stable? The one labeled entry w.

Entry w
Density functional theory data (PBE) for a relaxed Nd8Al2Hg crystal.

The density is 7.0 Mg/m³.

Geometry as CIF:
```
data_Nd8Al2Hg
_cell_length_a 5.141
_cell_length_b 8.715
_cell_length_c 14.918
_cell_angle_alpha 90.00
_cell_angle_beta 90.00
_cell_angle_gamma 90.00
_symmetry_space_group_name_H-M 'I m m m'
_symmetry_Int_Tables_number 71
_symmetry_space_group_name_Hall '-I 2 2'
loop_
_atom_site_label
_atom_site_type_symbol
_atom_site_fract_x
_atom_site_fract_y
_atom_site_fract_z
_atom_site_occupancy
Nd1 Nd 0.000 0.000 0.143 1
Nd2 Nd 0.000 0.219 0.340 1
Nd3 Nd 0.000 0.320 0.000 1
Al1 Al 0.000 0.500 0.194 1
Hg1 Hg 0.000 0.500 0.500 1
```

Entry x
Density functional theory data (PBE) for a relaxed Nd8Al2Hg crystal.

The density is 6.9 Mg/m³.

Geometry as CIF:
```
data_Nd8Al2Hg
_cell_length_a 18.301
_cell_length_b 5.149
_cell_length_c 7.607
_cell_angle_alpha 90.00
_cell_angle_beta 109.21
_cell_angle_gamma 90.00
_symmetry_space_group_name_H-M 'C 1 2/m 1'
_symmetry_Int_Tables_number 12
loop_
_symmetry_equiv_pos_as_xyz
'x,y,z'
'-x,-y,-z'
'-x,y,-z'
'x,-y,z'
'x+1/2,y+1/2,z'
'-x+1/2,-y+1/2,-z'
'-x+1/2,y+1/2,-z'
'x+1/2,-y+1/2,z'
loop_
_atom_site_label
_atom_site_type_symbol
_atom_site_fract_x
_atom_site_fract_y
_atom_site_fract_z
_atom_site_occupancy
Nd1 Nd 0.021 0.000 0.257 1
Nd2 Nd 0.095 0.500 0.963 1
Nd3 Nd 0.166 0.500 0.444 1
Nd4 Nd 0.198 0.000 0.792 1
Al1 Al 0.187 0.000 0.198 1
Hg1 Hg 0.000 0.500 0.500 1
```

Which structure is the least stable? The one labeled entry w.